Record 1
Density functional theory data (GGA-PBE) for a relaxed TaBe3In crystal.

It has space group Pm-3m (No. 221), with a = 4.5346 Å, b = 4.5346 Å, c = 4.5346 Å, α = 90.00°, β = 90.00° and γ = 90.00°. The inequivalent atoms are Ta at (0.0000, 0.0000, 0.0000), Be at (0.0000, 0.0000, 0.5000) and In at (0.5000, 0.5000, 0.5000).

The density is 5.75 g cm⁻³. Its calculated formation energy is 1.425 eV/atom. As for the total energy: -3.729 eV per atom. The energy above the lowest structure with this stoichiometry comes out at 0 meV/atom.

***

Record 2
Density functional theory data (GGA-PBE) for a relaxed TaBe3In crystal.

It has space group Pm-3m (No. 221), with a = 4.3101 Å, b = 4.3101 Å, c = 4.3101 Å, α = 90.00°, β = 90.00° and γ = 90.00°. The inequivalent atoms are Ta at (0.0000, 0.0000, 0.0000), Be at (0.0000, 0.5000, 0.5000) and In at (0.5000, 0.5000, 0.5000).

The density is 6.69 g cm⁻³. Its calculated formation energy is 1.508 eV/atom. As for the total energy: -3.646 eV per atom. The energy above the lowest structure with this stoichiometry comes out at 83 meV/atom.

***

Record 3
Density functional theory data (GGA-PBE) for a relaxed Ta2BeIn crystal.

It has space group I4/mmm (No. 139), with a = 3.9526 Å, b = 3.9526 Å, c = 8.6834 Å, α = 90.00°, β = 90.00° and γ = 90.00°. The inequivalent atoms are Ta at (0.0000, 0.5000, 0.2500), Be at (0.0000, 0.0000, 0.0000) and In at (0.0000, 0.0000, 0.5000).

The density is 11.89 g cm⁻³. Its calculated formation energy is 0.208 eV/atom. As for the total energy: -7.334 eV per atom. The energy above the lowest structure with this stoichiometry comes out at 114 meV/atom.

***

Record 4
Density functional theory data (GGA-PBE) for a relaxed Ta2BeIn crystal.

It has space group Pm (No. 6), with a = 3.3145 Å, b = 3.6998 Å, c = 5.7915 Å, α = 90.00°, β = 106.60° and γ = 90.00°. The inequivalent atoms are Ta at (0.0000, 0.0000, 0.0000), Ta at (0.3598, 0.5000, 0.7269), Be at (0.5845, 0.5000, 0.1674) and In at (0.7253, 0.0000, 0.4562).

The density is 11.85 g cm⁻³. Its calculated formation energy is 0.157 eV/atom. As for the total energy: -7.386 eV per atom. The energy above the lowest structure with this stoichiometry comes out at 62 meV/atom.

***

Record 5
Density functional theory data (GGA-PBE) for a relaxed Ta2BeIn crystal.

It has space group I-4m2 (No. 119), with a = 3.9544 Å, b = 3.9544 Å, c = 8.7695 Å, α = 90.00°, β = 90.00° and γ = 90.00°. The inequivalent atoms are Ta at (0.0000, 0.0000, 0.0000), Ta at (0.0000, 0.5000, 0.2500), Be at (0.0000, 0.5000, 0.7500) and In at (0.0000, 0.0000, 0.5000).

The density is 11.76 g cm⁻³. Its calculated formation energy is 0.320 eV/atom. As for the total energy: -7.222 eV per atom. The energy above the lowest structure with this stoichiometry comes out at 226 meV/atom.

***

Record 6
Density functional theory data (GGA-PBE) for a relaxed Ta2BeIn crystal.

It has space group Fm-3m (No. 225), with a = 6.4677 Å, b = 6.4677 Å, c = 6.4677 Å, α = 90.00°, β = 90.00° and γ = 90.00°. The inequivalent atoms are Ta at (0.2500, 0.2500, 0.2500), Be at (0.0000, 0.0000, 0.0000) and In at (0.0000, 0.0000, 0.5000).

The density is 11.92 g cm⁻³. Its calculated formation energy is 0.534 eV/atom. As for the total energy: -7.008 eV per atom. The energy above the lowest structure with this stoichiometry comes out at 439 meV/atom.

***

Record 7
Density functional theory data (GGA-PBE) for a relaxed ZrTaBe2In crystal.

It has space group P4/mmm (No. 123), with a = 4.3457 Å, b = 4.3457 Å, c = 5.2994 Å, α = 90.00°, β = 90.00° and γ = 90.00°. The inequivalent atoms are Zr at (0.0000, 0.0000, 0.0000), Ta at (0.5000, 0.5000, 0.0000), Be at (0.0000, 0.5000, 0.5000) and In at (0.0000, 0.0000, 0.5000).

The density is 6.72 g cm⁻³. Its calculated formation energy is 1.337 eV/atom. As for the total energy: -4.782 eV per atom.

***

Record 8
Density functional theory data (GGA-PBE) for a relaxed Tb2BeIn crystal.

It has space group R-3m (No. 166, hexagonal axes), with a = 3.4523 Å, b = 3.4523 Å, c = 31.4860 Å, α = 90.00°, β = 90.00° and γ = 120.00°. The inequivalent atoms are Tb at (0.0000, 0.0000, 0.1036), Be at (0.0000, 0.0000, 0.5000) and In at (0.0000, 0.0000, 0.0000).

The density is 6.77 g cm⁻³. Its calculated formation energy is 0.272 eV/atom. As for the total energy: -3.659 eV per atom. The energy above the lowest structure with this stoichiometry comes out at 464 meV/atom.

***

Record 9
Density functional theory data (GGA-PBE) for a relaxed TbBeIn crystal.

It has space group Pm (No. 6), with a = 4.5804 Å, b = 4.5545 Å, c = 6.6127 Å, α = 90.00°, β = 97.95° and γ = 90.00°. The inequivalent atoms are Tb at (0.0000, 0.0000, 0.0000), Tb at (0.0895, 0.5000, 0.3968), Be at (0.5579, 0.0000, 0.2901), Be at (0.8898, 0.0000, 0.5444), In at (0.4339, 0.0000, 0.6810) and In at (0.5080, 0.5000, 0.0525).

The density is 6.87 g cm⁻³. Its calculated formation energy is 0.012 eV/atom. As for the total energy: -3.686 eV per atom. The energy above the lowest structure with this stoichiometry comes out at 221 meV/atom.

***

Record 10
Density functional theory data (GGA-PBE) for a relaxed Tb2BeIn crystal.

It has space group Fm-3m (No. 225), with a = 7.2688 Å, b = 7.2688 Å, c = 7.2688 Å, α = 90.00°, β = 90.00° and γ = 90.00°. The inequivalent atoms are Tb at (0.2500, 0.2500, 0.2500), Be at (0.0000, 0.0000, 0.0000) and In at (0.0000, 0.0000, 0.5000).

The density is 7.64 g cm⁻³. Its calculated formation energy is -0.116 eV/atom. As for the total energy: -4.048 eV per atom. The energy above the lowest structure with this stoichiometry comes out at 75 meV/atom.

***

Record 11
Density functional theory data (GGA-PBE) for a relaxed TbBeIn crystal.

It has space group F-43m (No. 216), with a = 6.3952 Å, b = 6.3952 Å, c = 6.3952 Å, α = 90.00°, β = 90.00° and γ = 90.00°. The inequivalent atoms are Tb at (0.0000, 0.0000, 0.0000), Be at (0.2500, 0.2500, 0.2500) and In at (0.0000, 0.0000, 0.5000).

The density is 7.18 g cm⁻³. Its calculated formation energy is -0.209 eV/atom. As for the total energy: -3.907 eV per atom. The energy above the lowest structure with this stoichiometry comes out at 0 meV/atom.

***

Record 12
Density functional theory data (GGA-PBE) for a relaxed Tb2BeIn crystal.

It has space group P4/mmm (No. 123), with a = 3.5335 Å, b = 3.5335 Å, c = 7.4862 Å, α = 90.00°, β = 90.00° and γ = 90.00°. The inequivalent atoms are Tb at (0.0000, 0.0000, 0.2185), Be at (0.5000, 0.5000, 0.0000) and In at (0.5000, 0.5000, 0.5000).

The density is 7.85 g cm⁻³. Its calculated formation energy is -0.192 eV/atom. As for the total energy: -4.123 eV per atom. The energy above the lowest structure with this stoichiometry comes out at 0 meV/atom.

***

Record 13
Density functional theory data (GGA-PBE) for a relaxed BeIn2Tc crystal.

It has space group F-43m (No. 216), with a = 6.4819 Å, b = 6.4819 Å, c = 6.4819 Å, α = 90.00°, β = 90.00° and γ = 90.00°. The inequivalent atoms are Be at (0.0000, 0.0000, 0.0000), In at (0.0000, 0.0000, 0.5000), In at (0.2500, 0.2500, 0.2500) and Tc at (0.2500, 0.2500, 0.7500).

The density is 8.21 g cm⁻³. Its calculated formation energy is 0.661 eV/atom. As for the total energy: -4.231 eV per atom.

***

Record 14
Density functional theory data (GGA-PBE) for a relaxed BeIn2Tc crystal.

It has space group P4/mmm (No. 123), with a = 3.4776 Å, b = 3.4776 Å, c = 5.6418 Å, α = 90.00°, β = 90.00° and γ = 90.00°. The inequivalent atoms are Be at (0.0000, 0.0000, 0.0000), In at (0.5000, 0.5000, 0.2472) and Tc at (0.0000, 0.0000, 0.5000).

The density is 8.19 g cm⁻³. Its calculated formation energy is 0.369 eV/atom. As for the total energy: -4.523 eV per atom.

***

Record 15
Density functional theory data (GGA-PBE) for a relaxed Be2InTc crystal.

It has space group F-43m (No. 216), with a = 6.0469 Å, b = 6.0469 Å, c = 6.0469 Å, α = 90.00°, β = 90.00° and γ = 90.00°. The inequivalent atoms are Be at (0.0000, 0.0000, 0.0000), Be at (0.2500, 0.2500, 0.2500), In at (0.2500, 0.2500, 0.7500) and Tc at (0.0000, 0.0000, 0.5000).

The density is 6.93 g cm⁻³. Its calculated formation energy is 0.511 eV/atom. As for the total energy: -4.628 eV per atom.